(1)
The following is a PBE-GGA calculation of LiGe2Te2 after structural relaxation, from Alexandria.

Properties
offset from the most stable computed form	40	meV/atom
VASP energy	-3.561	eV/atom
N(E_F)	0.30	states/eV per atom
raw formation energy	-0.0750	eV/atom

Lattice parameters (Å, degrees): 3.9321 3.9321 16.0920 90.00 90.00 90.00
Closest atoms and distances in Å follow each position.
Space group I4/mmm (No. 139)
Unique sites:
1 Li 0.0000 0.0000 0.0000 x2  8 Te 3.17
2 Ge 0.0000 0.5000 0.2500 x4  4 Ge 2.78
3 Te 0.0000 0.0000 0.4056 x4  1 Te 3.04, 4 Li 3.17, 4 Ge 3.18

(2)
The following is a PBE-GGA calculation of Ba2LiOs after structural relaxation, from Alexandria.

Properties
offset from the most stable computed form	115	meV/atom
VASP energy	-3.695	eV/atom
N(E_F)	0.56	states/eV per atom
formation energy	53.3	kJ/mol of atoms

Lattice parameters (Å, degrees): 3.7109 3.7837 9.6025 90.00 90.00 90.00
Closest atoms and distances in Å follow each position.
Space group Pmmm (No. 47)
Unique sites:
1 Ba 0.0000 0.0000 0.1918 x2  4 Os 3.23
2 Li 0.5000 0.5000 0.5000 x1  4 Li 3.71-3.78, 8 Ba 3.97
3 Os 0.5000 0.5000 0.0000 x1  8 Ba 3.23

(3)
The following is a PBE-GGA calculation of Li3Ag4Hg4 after structural relaxation, from Alexandria.

Properties
offset from the most stable computed form	38	meV/atom
VASP energy	-1.801	eV/atom
N(E_F)	0.21	states/eV per atom
formation energy	-12.8	kJ/mol of atoms

Lattice parameters (Å, degrees): 13.7831 7.5738 4.2927 90.00 107.98 90.00
Closest atoms and distances in Å follow each position.
Space group C2/m (No. 12)
Unique sites:
1 Li 0.0000 0.0000 0.0000 x2  4 Ag 2.93, 8 Hg 2.99-3.15
2 Li 0.1924 0.5000 0.6913 x4  6 Ag 2.78-2.85, 4 Hg 2.88-2.93
3 Ag 0.1582 0.2733 0.1550 x8  4 Li 2.78-2.93, 5 Hg 2.94-3.00
4 Hg 0.0000 0.3043 0.5000 x4  4 Li 2.93-3.15, 3 Hg 2.96-3.11, 4 Ag 2.99-3.00
5 Hg 0.1594 0.0000 0.6562 x4  4 Li 2.88-3.00, 6 Ag 2.94-2.98, 2 Hg 3.11

(4)
The following is a PBE-GGA calculation of Tb2PbSe after structural relaxation, from Alexandria.

Properties
offset from the most stable computed form	0	meV/atom
VASP energy	-5.233	eV/atom
N(E_F)	0.46	states/eV per atom
raw formation energy	-1.1198	eV/atom

Lattice parameters (Å, degrees): 4.2541 4.2541 21.3744 90.00 90.00 120.00
Closest atoms and distances in Å follow each position.
Space group R-3m (No. 166, hexagonal axes)
Unique sites:
1 Tb 0.0000 0.0000 0.2455 x6  3 Se 2.98, 3 Pb 3.09
2 Pb 0.0000 0.0000 0.0000 x3  6 Tb 3.09
3 Se 0.0000 0.0000 0.5000 x3  6 Tb 2.98

(5)
The following is a PBE-GGA calculation of PaVPt after structural relaxation, from Alexandria.

Properties
offset from the most stable computed form	235	meV/atom
VASP energy	-8.233	eV/atom
N(E_F)	1.95	states/eV per atom
formation energy	-1.4	kJ/mol of atoms

Lattice parameters (Å, degrees): 8.8553 3.8966 3.6093 90.00 90.00 90.00
Closest atoms and distances in Å follow each position.
Space group Pmma (No. 51)
Unique sites:
1 Pa 0.0000 0.0000 0.0000 x2  4 V 2.85-2.86, 4 Pt 2.95
2 V 0.2500 0.0000 0.4987 x2  4 Pt 2.66, 4 Pa 2.85-2.86
3 Pt 0.2500 0.5000 0.9985 x2  4 V 2.66, 4 Pa 2.95

(6)
The following is a PBE-GGA calculation of PuTh2Sc6 after structural relaxation, from Alexandria.

Properties
VASP energy	-7.405	eV/atom
N(E_F)	1.95	states/eV per atom
formation energy	5.5	kJ/mol of atoms

Lattice parameters (Å, degrees): 4.7108 14.1412 14.1993 90.00 90.00 90.00
Closest atoms and distances in Å follow each position.
Space group Fmmm (No. 69)
Unique sites:
1 Pu 0.0000 0.0000 0.0000 x4  4 Th 3.28, 8 Sc 3.33-3.35
2 Th 0.0000 0.1618 0.5000 x8  2 Pu 3.28, 8 Sc 3.30-3.40, 2 Th 3.43
3 Sc 0.0000 0.0000 0.3324 x8  2 Th 3.30, 8 Sc 3.32-3.33, 2 Pu 3.35
4 Sc 0.0000 0.1660 0.1667 x16  8 Sc 3.32-3.35, 1 Pu 3.33, 3 Th 3.34-3.40

(7)
The following is a PBE-GGA calculation of HfGaWC2 after structural relaxation, from Alexandria.

Properties
VASP energy	-6.640	eV/atom
N(E_F)	0.83	states/eV per atom
formation energy	215.7	kJ/mol of atoms

Lattice parameters (Å, degrees): 3.9977 3.9977 4.9070 90.00 90.00 90.00
Closest atoms and distances in Å follow each position.
Space group P4/mmm (No. 123)
Unique sites:
1 Hf 0.0000 0.0000 0.0000 x1  4 W 2.83, 8 C 3.16
2 Ga 0.5000 0.5000 0.5000 x1  4 C 2.00
3 W 0.5000 0.5000 0.0000 x1  2 Ga 2.45
4 C 0.0000 0.5000 0.5000 x2  2 Ga 2.00

(8)
The following is a PBE-GGA calculation of CaInGaPb2 after structural relaxation, from Alexandria.

Properties
VASP energy	-2.813	eV/atom
N(E_F)	0.63	states/eV per atom
formation energy	21.6	kJ/mol of atoms

Lattice parameters (Å, degrees): 5.8298 5.8298 5.2610 90.00 90.00 90.00
Closest atoms and distances in Å follow each position.
Space group P4/mmm (No. 123)
Unique sites:
1 Ca 0.0000 0.0000 0.0000 x1  8 Pb 3.93, 4 Ga 4.12
2 In 0.5000 0.5000 0.5000 x1  2 Ga 2.63, 4 Pb 2.91
3 Ga 0.5000 0.5000 0.0000 x1  2 In 2.63
4 Pb 0.0000 0.5000 0.5000 x2  2 In 2.91

The highest VASP energy belongs to which entry?
Li3Ag4Hg4